No. 1
Computed, not measured: a relaxed structure of AlBi3Rh at the PBE-GGA level of DFT.

Output
Magnetization, μB per cell: 0.000
Energy of formation, eV per atom: 0.96
E, eV for the cell shown: -17.96
Mass density, g/cm3: 8.44

Unit cell a=5.301 b=5.301 c=5.301 alpha=90.00 beta=90.00 gamma=90.00
Space group Pm-3m (No. 221)
Symmetry-distinct sites (fractional):
1 Al 0.000 0.000 0.000
2 Bi 0.000 0.000 0.500
3 Rh 0.500 0.500 0.500

=====

No. 2
Computed, not measured: a relaxed structure of ScAl2BiRh at the PBE-GGA level of DFT.

Output
Magnetization, μB per cell: 0.000
Energy of formation, eV per atom: -0.06
E, eV for the cell shown: -25.35
Mass density, g/cm3: 5.64

Unit cell a=4.584 b=4.584 c=5.761 alpha=90.00 beta=90.00 gamma=90.00
Space group P4/mmm (No. 123)
Symmetry-distinct sites (fractional):
1 Sc 0.000 0.000 0.000
2 Al 0.000 0.500 0.500
3 Bi 0.500 0.500 0.000
4 Rh 0.500 0.500 0.500

=====

No. 3
Computed, not measured: a relaxed structure of AlSiBi2Rh at the PBE-GGA level of DFT.

Output
Magnetization, μB per cell: 0.000
E, eV for the cell shown: -19.80
Energy relative to the elements, uncorrected, eV/atom: 0.896
Mass density, g/cm3: 7.37

Unit cell a=5.316 b=5.316 c=4.590 alpha=90.00 beta=90.00 gamma=90.00
Space group P4/mmm (No. 123)
Symmetry-distinct sites (fractional):
1 Al 0.000 0.000 0.000
2 Si 0.000 0.000 0.500
3 Bi 0.000 0.500 0.500
4 Rh 0.500 0.500 0.000

=====

No. 4
Computed, not measured: a relaxed structure of Al2SnBiRh at the PBE-GGA level of DFT.

Output
Magnetization, μB per cell: 0.000
Energy of formation, eV per atom: 0.01
E, eV for the cell shown: -22.66
Mass density, g/cm3: 6.51

Unit cell a=4.725 b=4.725 c=5.537 alpha=90.00 beta=90.00 gamma=90.00
Space group P4/mmm (No. 123)
Symmetry-distinct sites (fractional):
1 Al 0.000 0.500 0.000
2 Sn 0.000 0.000 0.500
3 Bi 0.500 0.500 0.500
4 Rh 0.500 0.500 0.000

=====

- magnetization of number 4 (Al2SnBiRh)?
  0.000 μB per cell

=====

- What is the formula in the fourth record?
  Al2SnBiRh